Material: ZnSn2Se
Method: DFT, GGA-PBE
State: optimized geometry

Cell: 7.2591 7.2591 7.2591 Å, 90.00 90.00 90.00°
Space group Fm-3m (No. 225)
Asymmetric unit:
Zn  0.0000  0.0000  0.0000
Sn  0.2500  0.2500  0.2500
Se  0.0000  0.0000  0.5000

Summary:
* raw formation energy: 105 meV/atom
* offset from the most stable computed form: 131 meV per atom

---

Material: ZnSn2Se
Method: DFT, GGA-PBE
State: optimized geometry

Cell: 6.2305 6.2305 12.7964 Å, 90.00 90.00 90.00°
Space group I-42d (No. 122)
Asymmetric unit:
Zn  0.0000  0.0000  0.0000
Sn  0.2232  0.2500  0.1250
Se  0.0000  0.0000  0.5000

Summary:
* raw formation energy: -26 meV/atom
* offset from the most stable computed form: 0 meV per atom

---

Material: Zn2SnSe
Method: DFT, GGA-PBE
State: optimized geometry

Cell: 6.2954 6.2954 10.6510 Å, 90.00 90.00 90.00°
Space group I-42d (No. 122)
Asymmetric unit:
Zn  0.2221  0.2500  0.1250
Sn  0.0000  0.0000  0.5000
Se  0.0000  0.0000  0.0000

Summary:
* raw formation energy: -97 meV/atom
* offset from the most stable computed form: 0 meV per atom

---

Material: ZnSn3Se
Method: DFT, GGA-PBE
State: optimized geometry

Cell: 5.2287 5.2287 5.2287 Å, 90.00 90.00 90.00°
Space group Pm-3m (No. 221)
Asymmetric unit:
Zn  0.0000  0.0000  0.0000
Sn  0.0000  0.0000  0.5000
Se  0.5000  0.5000  0.5000

Summary:
* raw formation energy: 321 meV/atom
* offset from the most stable computed form: 0 meV per atom